Compound: FeSeI3
Source: Alexandria
Functional: PBE
Structure: optimized geometry

Lattice parameters (Å, degrees): 5.7554 5.7554 5.7554 90.00 90.00 90.00
Fractional positions:
Fe 0.0000 0.0000 0.0000
Se 0.5000 0.5000 0.5000
I 0.0000 0.5000 0.5000
I 0.5000 0.0000 0.5000
I 0.5000 0.5000 0.0000

Output
* uncorrected formation energy: 4.0 eV per formula unit
* ΔE to the lowest computed polymorph: 1.03 eV/f.u.
* space group: Pm-3m, No. 221

***

Compound: BaSc2Se
Source: Alexandria
Functional: PBE
Structure: optimized geometry

Lattice parameters (Å, degrees): 3.7175 5.3024 5.5443 90.00 90.00 90.00
Fractional positions:
Ba 0.0000 0.0000 0.0000
Sc 0.0000 0.5000 0.5000
Sc 0.5000 0.5000 0.0000
Se 0.5000 0.0000 0.5000

Output
* uncorrected formation energy: -0.9 eV per formula unit
* space group: Pmmm, No. 47

***

Compound: BeHg2Cl
Source: Alexandria
Functional: PBE
Structure: optimized geometry

Lattice parameters (Å, degrees): 4.0555 4.0555 5.8696 90.00 90.00 90.00
Fractional positions:
Be 0.0000 0.0000 0.0000
Hg 0.0000 0.5000 0.5000
Hg 0.5000 0.0000 0.5000
Cl 0.5000 0.5000 0.0000

Output
* uncorrected formation energy: 1.7 eV per formula unit
* ΔE to the lowest computed polymorph: 2.47 eV/f.u.
* space group: P4/mmm, No. 123

***

Compound: NaTm2Hg3
Source: Alexandria
Functional: PBE
Structure: optimized geometry

Lattice parameters (Å, degrees): 3.6454 3.6454 11.3922 90.00 90.00 90.00
Fractional positions:
Na 0.0000 0.0000 0.0000
Tm 0.0000 0.0000 0.3362
Tm 0.0000 0.0000 0.6638
Hg 0.5000 0.5000 0.1828
Hg 0.5000 0.5000 0.5000
Hg 0.5000 0.5000 0.8172

Output
* energy of formation: -0.383 eV/atom
* space group: P4/mmm, No. 123

***

Compound: Cd3HgAs
Source: Alexandria
Functional: PBE
Structure: optimized geometry

Lattice parameters (Å, degrees): 5.3416 5.3416 5.3416 90.00 90.00 90.00
Fractional positions:
Cd 0.0000 0.0000 0.5000
Cd 0.0000 0.5000 0.0000
Cd 0.5000 0.0000 0.0000
Hg 0.0000 0.0000 0.0000
As 0.5000 0.5000 0.5000

Output
* energy of formation: 0.578 eV/atom
* ΔE to the lowest computed polymorph: 1.85 eV/f.u.
* space group: Pm-3m, No. 221

***

Compound: Ca3Ge4Ir
Source: Alexandria
Functional: PBE
Structure: optimized geometry

Lattice parameters (Å, degrees): 8.9163 8.9163 8.9163 149.71 145.57 46.51
Fractional positions:
Ca 0.0000 0.0000 0.0000
Ca 0.2931 0.7931 0.5000
Ca 0.7069 0.2069 0.5000
Ge 0.1134 0.3773 0.7361
Ge 0.3587 0.6227 0.7361
Ge 0.6413 0.3773 0.2639
Ge 0.8866 0.6227 0.2639
Ir 0.5000 0.5000 0.0000

Output
* energy of formation: -0.373 eV/atom
* space group: Immm, No. 71

***

Compound: BeZnRu2
Source: Alexandria
Functional: PBE
Structure: optimized geometry

Lattice parameters (Å, degrees): 2.7256 3.7335 5.1320 90.00 100.62 90.00
Fractional positions:
Be 0.0000 0.0000 0.0000
Zn 0.0000 0.0000 0.5000
Ru 0.3605 0.5000 0.2260
Ru 0.6395 0.5000 0.7740

Output
* energy of formation: 0.059 eV/atom
* space group: P2/m, No. 10

***

Compound: PmGaHg
Source: Alexandria
Functional: PBE
Structure: optimized geometry

Lattice parameters (Å, degrees): 5.9859 5.9859 5.9859 133.77 102.56 95.20
Fractional positions:
Pm 0.0000 0.0000 0.0000
Pm 0.5551 0.0551 0.5000
Ga 0.1680 0.3660 0.8020
Ga 0.5640 0.3660 0.1980
Hg 0.4102 0.6943 0.7159
Hg 0.9784 0.6943 0.2841

Output
* energy of formation: -0.527 eV/atom
* ΔE to the lowest computed polymorph: 0.01 eV/f.u.
* space group: Imm2, No. 44

***

no.,calculated density (kg/m3)
1,4490
2,4653
3,7665
4,10559
5,6676
6,4971
7,8947
8,9711